Record 1
Entry from Alexandria: crystalline InGa2Ni2 at its relaxed geometry (PBE-GGA).

Cell lengths 4.3248, 4.3248, 4.8746 Å; angles 90.00, 90.00, 120.00 degrees
Space group P-3m1 (No. 164)
Unique sites:
In 0.0000 0.0000 0.0000 x1
Ga 0.3333 0.6667 0.6389 x2
Ni 0.3333 0.6667 0.1459 x2

Results
The value obtained for the formation energy is -0.271 eV/atom. The polymorph energy (0 for the lowest one) is 0 meV per atom.

Record 2
Entry from Alexandria: crystalline TaMn2Be at its relaxed geometry (PBE-GGA).

Cell lengths 5.096, 8.229, 2.610 Å; angles 90.00, 114.02, 90.00 degrees
Space group C2/m (No. 12)
Unique sites:
Ta 0.000 0.000 0.000 x2
Mn 0.250 0.250 0.500 x4
Be 0.000 0.500 0.000 x2

Results
The value obtained for the formation energy is 0.160 eV/atom.

Record 3
Entry from Alexandria: crystalline Mn2AlTlSb at its relaxed geometry (PBE-GGA).

Cell lengths 4.627, 4.627, 5.138 Å; angles 90.00, 90.00, 90.00 degrees
Space group P4/mmm (No. 123)
Unique sites:
Mn 0.000 0.500 0.000 x2
Al 0.000 0.000 0.000 x1
Tl 0.500 0.500 0.500 x1
Sb 0.000 0.000 0.500 x1

Results
For the uncorrected formation energy, the calculation gives 638 kJ/mol of formula units.

Record 4
Entry from Alexandria: crystalline BaPdPb3 at its relaxed geometry (PBE-GGA).

Cell lengths 10.192, 4.838, 12.274 Å; angles 90.00, 90.00, 90.00 degrees
Space group Pnma (No. 62)
Unique sites:
Ba 0.193 0.250 0.002 x4
Pd 0.095 0.250 0.350 x4
Pb 0.063 0.250 0.589 x4
Pb 0.128 0.750 0.790 x4
Pb 0.140 0.750 0.214 x4

Results
The value obtained for the formation energy is -0.399 eV/atom.

Record 5
Entry from Alexandria: crystalline CaFe2Rh at its relaxed geometry (PBE-GGA).

Cell lengths 6.333, 6.333, 6.333 Å; angles 90.00, 90.00, 90.00 degrees
Space group Fm-3m (No. 225)
Unique sites:
Ca 0.000 0.000 0.000 x4
Fe 0.250 0.250 0.250 x8
Rh 0.000 0.000 0.500 x4

Results
The value obtained for the formation energy is 0.326 eV/atom.

Record 6
Entry from Alexandria: crystalline ThGe2IrRh2 at its relaxed geometry (PBE-GGA).

Cell lengths 4.666, 4.666, 5.535 Å; angles 90.00, 90.00, 90.00 degrees
Space group P4/mmm (No. 123)
Unique sites:
Th 0.000 0.000 0.000 x1
Ge 0.000 0.500 0.500 x2
Ir 0.000 0.000 0.500 x1
Rh 0.500 0.500 0.242 x2

Results
The value obtained for the formation energy is -0.237 eV/atom.

Values for final energy, eV per atom, ordered as above
-4.342, -8.319, -4.392, -4.048, -6.244, -6.940